Entry 1:
! TbPmCd, relaxed, DFT GGA-PBE; values from VASP
&SYSTEM
  ibrav = 0, nat = 3, ntyp = 3
/
ATOMIC_SPECIES
Cd 112.41 Cd.upf
Tb 158.93 Tb.upf
Pm 145.00 Pm.upf
CELL_PARAMETERS angstrom
-2.631 0.718 -2.375
-3.462 -2.618 3.043
0.766 5.196 0.723
ATOMIC_POSITIONS angstrom
Cd -3.864 0.481 0.635
Tb -2.469 0.674 -2.229
Pm -1.625 2.859 0.611
! **D(E_F)**: 4.0 states/eV per cell
! **Calculated total energy**: -3.5108 eV/atom
! **ΔE to the lowest computed polymorph**: 0.357 eV/f.u.
! **Symmetry**: P3m1, No. 156

=====

Entry 2:
! TbPmCd4, relaxed, DFT GGA-PBE; values from VASP
&SYSTEM
  ibrav = 0, nat = 6, ntyp = 3
/
ATOMIC_SPECIES
Cd 112.41 Cd.upf
Tb 158.93 Tb.upf
Pm 145.00 Pm.upf
CELL_PARAMETERS angstrom
-3.887 -4.279 -1.406
-0.369 -1.959 -5.606
1.946 -5.450 -1.381
ATOMIC_POSITIONS angstrom
Cd -2.418 -4.580 -4.555
Cd -1.260 -6.326 -2.442
Cd -1.444 -7.306 -5.246
Cd 0.500 -5.166 -4.543
Tb 0.000 0.000 0.000
Pm -0.578 -2.922 -2.098
! **D(E_F)**: 3.9 states/eV per cell
! **Calculated total energy**: -2.4516 eV/atom
! **ΔE to the lowest computed polymorph**: 0.332 eV/f.u.
! **Symmetry**: F-43m, No. 216

=====

Entry 3:
! Tb2Pm2Cd, relaxed, DFT GGA-PBE; values from VASP
&SYSTEM
  ibrav = 0, nat = 5, ntyp = 3
/
ATOMIC_SPECIES
Tb 158.93 Tb.upf
Pm 145.00 Pm.upf
Cd 112.41 Cd.upf
CELL_PARAMETERS angstrom
-3.324 1.410 -0.378
-1.415 -2.884 1.690
3.516 6.198 9.621
ATOMIC_POSITIONS angstrom
Tb -2.171 0.211 2.441
Tb 0.947 4.512 8.492
Pm -1.669 2.600 6.938
Pm 0.445 2.123 3.995
Cd 0.000 0.000 0.000
! **D(E_F)**: 7.5 states/eV per cell
! **Calculated total energy**: -4.0503 eV/atom
! **ΔE to the lowest computed polymorph**: 0.000 eV/f.u.
! **Symmetry**: I4/mmm, No. 139

=====

Entry 4:
! Tb3PmCd, relaxed, DFT GGA-PBE; values from VASP
&SYSTEM
  ibrav = 0, nat = 10, ntyp = 3
/
ATOMIC_SPECIES
Tb 158.93 Tb.upf
Pm 145.00 Pm.upf
Cd 112.41 Cd.upf
CELL_PARAMETERS angstrom
-3.544 0.871 0.626
-1.321 -2.034 6.314
3.619 11.068 5.076
ATOMIC_POSITIONS angstrom
Tb 0.167 3.639 6.834
Tb -1.565 0.034 2.038
Tb -0.669 0.242 6.839
Tb -1.413 6.266 5.182
Tb -0.578 9.663 5.177
Tb 0.318 9.871 9.978
Pm 1.193 7.442 7.353
Pm -2.439 2.463 4.663
Cd -0.876 5.605 9.145
Cd -0.370 4.300 2.871
! **D(E_F)**: 13.9 states/eV per cell
! **Calculated total energy**: -4.0202 eV/atom
! **ΔE to the lowest computed polymorph**: 0.000 eV/f.u.
! **Symmetry**: C2/m, No. 12

=====

Entry 5:
! TbPm6Cd2, relaxed, DFT GGA-PBE; values from VASP
&SYSTEM
  ibrav = 0, nat = 18, ntyp = 3
/
ATOMIC_SPECIES
Tb 158.93 Tb.upf
Pm 145.00 Pm.upf
Cd 112.41 Cd.upf
CELL_PARAMETERS angstrom
6.203 -0.260 -0.252
1.232 9.600 1.193
1.232 1.503 9.557
ATOMIC_POSITIONS angstrom
Tb 2.783 2.263 8.641
Tb 5.884 8.580 1.856
Pm 4.417 7.077 4.802
Pm 1.148 5.945 3.706
Pm 4.250 3.766 5.696
Pm 7.519 4.898 6.792
Pm 4.668 1.284 3.308
Pm 7.101 7.365 9.195
Pm 3.999 9.559 7.190
Pm 1.566 3.478 1.302
Pm 2.884 6.991 1.104
Pm 2.681 9.644 3.672
Pm 5.782 3.852 9.394
Pm 5.986 1.200 6.826
Cd 4.165 6.274 8.067
Cd 1.400 2.708 4.614
Cd 4.502 4.570 2.431
Cd 7.267 8.136 5.883
! **D(E_F)**: 22.0 states/eV per cell
! **Calculated total energy**: -3.9505 eV/atom
! **ΔE to the lowest computed polymorph**: 0.603 eV/f.u.
! **Symmetry**: C2/c, No. 15

=====

Entry 6:
! Tb2Pm6Cd, relaxed, DFT GGA-PBE; values from VASP
&SYSTEM
  ibrav = 0, nat = 9, ntyp = 3
/
ATOMIC_SPECIES
Tb 158.93 Tb.upf
Pm 145.00 Pm.upf
Cd 112.41 Cd.upf
CELL_PARAMETERS angstrom
3.569 0.000 -0.147
0.000 10.365 0.000
-1.460 -5.183 8.096
ATOMIC_POSITIONS angstrom
Tb 0.100 5.183 2.429
Tb 2.010 0.000 5.520
Pm 0.117 1.676 2.859
Pm 1.993 6.859 5.090
Pm 1.993 3.506 5.090
Pm 1.784 3.051 -0.073
Pm 0.117 -1.676 2.859
Pm 1.784 7.314 -0.073
Cd 0.000 0.000 0.000
! **D(E_F)**: 11.8 states/eV per cell
! **Calculated total energy**: -4.2672 eV/atom
! **ΔE to the lowest computed polymorph**: 0.576 eV/f.u.
! **Symmetry**: Immm, No. 71

=====

Entry 7:
! TbPm3Cd, relaxed, DFT GGA-PBE; values from VASP
&SYSTEM
  ibrav = 0, nat = 10, ntyp = 3
/
ATOMIC_SPECIES
Tb 158.93 Tb.upf
Pm 145.00 Pm.upf
Cd 112.41 Cd.upf
CELL_PARAMETERS angstrom
-1.480 1.894 2.669
-4.917 -11.387 2.940
5.605 -1.367 4.078
ATOMIC_POSITIONS angstrom
Tb 1.018 -5.749 5.853
Tb -1.810 -5.112 3.833
Pm -2.734 -1.696 3.314
Pm 1.942 -9.165 6.373
Pm -0.046 -2.352 5.270
Pm -0.746 -8.509 4.417
Pm -1.377 -10.170 7.662
Pm 0.585 -0.691 2.024
Cd 3.070 -1.961 4.303
Cd -3.862 -8.900 5.384
! **D(E_F)**: 12.2 states/eV per cell
! **Calculated total energy**: -4.0154 eV/atom
! **ΔE to the lowest computed polymorph**: 0.269 eV/f.u.
! **Symmetry**: Cmcm, No. 63

=====

Entry 8:
! Tb2PmCd, relaxed, DFT GGA-PBE; values from VASP
&SYSTEM
  ibrav = 0, nat = 4, ntyp = 3
/
ATOMIC_SPECIES
Cd 112.41 Cd.upf
Tb 158.93 Tb.upf
Pm 145.00 Pm.upf
CELL_PARAMETERS angstrom
-1.483 2.648 1.994
-3.312 -1.284 -0.758
0.380 -5.307 7.329
ATOMIC_POSITIONS angstrom
Cd -2.397 0.682 0.618
Tb 0.295 -4.122 5.693
Tb 0.085 -1.185 1.637
Pm -2.207 -1.972 4.283
! **D(E_F)**: 3.9 states/eV per cell
! **Calculated total energy**: -3.8827 eV/atom
! **ΔE to the lowest computed polymorph**: 0.000 eV/f.u.
! **Symmetry**: P4/mmm, No. 123

=====

Entry 9:
! Tb5PmCd3, relaxed, DFT GGA-PBE; values from VASP
&SYSTEM
  ibrav = 0, nat = 18, ntyp = 3
/
ATOMIC_SPECIES
Tb 158.93 Tb.upf
Pm 145.00 Pm.upf
Cd 112.41 Cd.upf
CELL_PARAMETERS angstrom
6.998 0.000 0.000
0.000 8.003 -4.621
0.000 0.000 9.241
ATOMIC_POSITIONS angstrom
Tb 0.000 5.336 0.000
Tb 3.499 2.668 4.620
Tb 0.000 2.668 4.620
Tb 3.499 5.336 0.000
Tb 5.248 5.343 3.085
Tb 5.248 8.003 -1.549
Tb 5.248 2.661 -1.536
Tb 1.749 2.661 1.536
Tb 1.749 0.000 6.169
Tb 1.749 5.343 -3.085
Pm 0.000 0.000 0.000
Pm 3.499 0.000 0.000
Cd 5.248 2.695 1.556
Cd 5.248 8.003 1.508
Cd 5.248 5.308 -3.064
Cd 1.749 5.308 3.064
Cd 1.749 0.000 3.112
Cd 1.749 2.696 -1.556
! **D(E_F)**: 13.7 states/eV per cell
! **Calculated total energy**: -3.5822 eV/atom
! **Symmetry**: P6_3/mcm, No. 193

=====

Entry 10:
! Tb2PmCd5, relaxed, DFT GGA-PBE; values from VASP
&SYSTEM
  ibrav = 0, nat = 8, ntyp = 3
/
ATOMIC_SPECIES
Tb 158.93 Tb.upf
Pm 145.00 Pm.upf
Cd 112.41 Cd.upf
CELL_PARAMETERS angstrom
-0.306 4.101 3.151
-4.852 -1.321 1.248
5.192 -5.587 3.518
ATOMIC_POSITIONS angstrom
Tb -1.341 -0.598 4.909
Tb 1.375 -2.208 3.008
Pm 0.000 0.000 0.000
Cd -2.579 1.390 2.199
Cd 1.825 -1.126 5.903
Cd -0.448 -3.837 4.952
Cd -1.791 -1.680 2.014
Cd 0.482 1.031 2.965
! **D(E_F)**: 3.8 states/eV per cell
! **Calculated total energy**: -2.6404 eV/atom
! **Symmetry**: I4/mmm, No. 139

=====

Entry 11:
! Tb5Pm4Cd, relaxed, DFT GGA-PBE; values from VASP
&SYSTEM
  ibrav = 0, nat = 10, ntyp = 3
/
ATOMIC_SPECIES
Tb 158.93 Tb.upf
Pm 145.00 Pm.upf
Cd 112.41 Cd.upf
CELL_PARAMETERS angstrom
-2.222 -4.384 -0.367
3.185 -1.645 0.365
-2.212 -0.359 17.668
ATOMIC_POSITIONS angstrom
Tb 0.282 -3.047 1.593
Tb -0.166 -3.119 5.169
Tb -0.624 -3.194 8.833
Tb -1.083 -3.268 12.497
Tb -1.531 -3.341 16.073
Pm -0.434 -0.070 3.466
Pm -0.878 -0.142 7.011
Pm -1.334 -0.216 10.658
Pm -1.778 -0.288 14.202
Cd 0.000 0.000 0.000
! **D(E_F)**: 13.0 states/eV per cell
! **Calculated total energy**: -4.3260 eV/atom
! **ΔE to the lowest computed polymorph**: 0.000 eV/f.u.
! **Symmetry**: Pmmm, No. 47

=====

Entry 12:
! Tb4Pm3Cd2, relaxed, DFT GGA-PBE; values from VASP
&SYSTEM
  ibrav = 0, nat = 9, ntyp = 3
/
ATOMIC_SPECIES
Tb 158.93 Tb.upf
Pm 145.00 Pm.upf
Cd 112.41 Cd.upf
CELL_PARAMETERS angstrom
-3.519 -1.855 2.916
2.012 -7.251 -2.185
5.745 2.785 4.533
ATOMIC_POSITIONS angstrom
Tb -0.637 -3.125 1.415
Tb 1.831 -4.842 3.301
Tb 4.874 -3.196 3.850
Tb 2.406 -1.479 1.963
Pm 1.977 -1.883 5.360
Pm 2.260 -4.438 -0.096
Pm 0.000 0.000 0.000
Cd 4.672 -6.007 1.817
Cd -0.435 -0.314 3.447
! **D(E_F)**: 11.1 states/eV per cell
! **Calculated total energy**: -3.9186 eV/atom
! **Symmetry**: C2/m, No. 12

=====

Entry 13:
! Tb2PmCd3, relaxed, DFT GGA-PBE; values from VASP
&SYSTEM
  ibrav = 0, nat = 6, ntyp = 3
/
ATOMIC_SPECIES
Tb 158.93 Tb.upf
Pm 145.00 Pm.upf
Cd 112.41 Cd.upf
CELL_PARAMETERS angstrom
3.782 0.000 0.000
0.000 3.782 0.000
0.000 0.000 11.359
ATOMIC_POSITIONS angstrom
Tb 1.891 1.891 9.494
Tb 1.891 1.891 1.865
Pm 1.891 1.891 5.680
Cd 0.000 0.000 0.000
Cd 0.000 0.000 7.660
Cd 0.000 0.000 3.699
! **D(E_F)**: 7.0 states/eV per cell
! **Calculated total energy**: -3.1106 eV/atom
! **Symmetry**: P4/mmm, No. 123

=====

Entry 14:
! Tb3Pm2Cd, relaxed, DFT GGA-PBE; values from VASP
&SYSTEM
  ibrav = 0, nat = 6, ntyp = 3
/
ATOMIC_SPECIES
Tb 158.93 Tb.upf
Pm 145.00 Pm.upf
Cd 112.41 Cd.upf
CELL_PARAMETERS angstrom
-3.224 -1.628 0.116
0.364 -0.468 3.564
-6.263 12.560 2.288
ATOMIC_POSITIONS angstrom
Tb 0.000 0.000 0.000
Tb -4.033 8.088 1.473
Tb -2.230 4.471 0.815
Pm -6.571 9.263 3.718
Pm -2.551 1.201 2.250
Cd -4.561 5.232 2.984
! **D(E_F)**: 7.4 states/eV per cell
! **Calculated total energy**: -4.1487 eV/atom
! **ΔE to the lowest computed polymorph**: 0.000 eV/f.u.
! **Symmetry**: P4/mmm, No. 123

=====

Entry 15:
! Tb7Pm2Cd2, relaxed, DFT GGA-PBE; values from VASP
&SYSTEM
  ibrav = 0, nat = 11, ntyp = 3
/
ATOMIC_SPECIES
Tb 158.93 Tb.upf
Pm 145.00 Pm.upf
Cd 112.41 Cd.upf
CELL_PARAMETERS angstrom
8.109 -0.172 -0.248
-0.960 6.488 0.943
-0.960 -1.395 6.406
ATOMIC_POSITIONS angstrom
Tb 0.090 5.029 3.840
Tb 6.099 3.092 1.044
Tb 6.099 -0.108 3.262
Tb 0.090 1.829 6.058
Tb 0.000 0.000 0.000
Tb 3.015 3.435 4.957
Tb 3.173 1.486 2.145
Pm 3.094 -0.063 5.300
Pm 3.094 4.985 1.802
Cd 0.381 1.990 2.872
Cd 5.807 2.931 4.230
! **D(E_F)**: 14.4 states/eV per cell
! **Calculated total energy**: -3.9408 eV/atom
! **Symmetry**: C2/m, No. 12

=====

Entry 16:
! Tb2PmCd, relaxed, DFT GGA-PBE; values from VASP
&SYSTEM
  ibrav = 0, nat = 4, ntyp = 3
/
ATOMIC_SPECIES
Cd 112.41 Cd.upf
Tb 158.93 Tb.upf
Pm 145.00 Pm.upf
CELL_PARAMETERS angstrom
-4.995 -0.037 -2.277
-4.022 -2.978 2.255
-4.184 2.502 2.522
ATOMIC_POSITIONS angstrom
Cd -6.601 -0.256 1.250
Tb -3.300 -0.128 0.625
Tb -9.901 -0.385 1.875
Pm 0.000 0.000 0.000
! **D(E_F)**: 5.7 states/eV per cell
! **Calculated total energy**: -3.7315 eV/atom
! **ΔE to the lowest computed polymorph**: 0.605 eV/f.u.
! **Symmetry**: Fm-3m, No. 225

=====

Entry 17:
! Tb3Pm3Cd, relaxed, DFT GGA-PBE; values from VASP
&SYSTEM
  ibrav = 0, nat = 14, ntyp = 3
/
ATOMIC_SPECIES
Tb 158.93 Tb.upf
Pm 145.00 Pm.upf
Cd 112.41 Cd.upf
CELL_PARAMETERS angstrom
5.598 0.000 0.000
0.000 9.516 -0.012
0.000 -4.751 8.248
ATOMIC_POSITIONS angstrom
Tb 4.199 3.341 6.758
Tb 4.199 -0.567 1.974
Tb 4.199 -2.759 7.755
Tb 1.400 1.425 1.478
Tb 1.400 5.332 6.262
Tb 1.400 7.524 0.481
Pm 1.400 1.987 5.200
Pm 1.400 -1.243 3.921
Pm 1.400 -0.735 7.360
Pm 4.199 2.778 3.036
Pm 4.199 6.008 4.315
Pm 4.199 5.500 0.876
Cd 4.199 0.004 5.496
Cd 1.400 4.762 2.740
! **D(E_F)**: 18.9 states/eV per cell
! **Calculated total energy**: -4.1893 eV/atom
! **Symmetry**: P6_3/m, No. 176

=====

Entry 18:
! Tb2Pm3Cd2, relaxed, DFT GGA-PBE; values from VASP
&SYSTEM
  ibrav = 0, nat = 7, ntyp = 3
/
ATOMIC_SPECIES
Tb 158.93 Tb.upf
Pm 145.00 Pm.upf
Cd 112.41 Cd.upf
CELL_PARAMETERS angstrom
5.477 0.000 0.000
-2.738 4.731 -0.294
0.000 -2.654 8.257
ATOMIC_POSITIONS angstrom
Tb 2.738 3.294 2.046
Tb 0.000 -1.217 5.916
Pm 2.738 0.000 0.000
Pm 2.738 0.237 3.821
Pm 0.000 1.840 4.141
Cd 2.738 0.434 6.995
Cd 0.000 1.643 0.967
! **D(E_F)**: 7.1 states/eV per cell
! **Calculated total energy**: -3.7763 eV/atom
! **ΔE to the lowest computed polymorph**: 0.000 eV/f.u.
! **Symmetry**: R-3m, No. 166

=====

Entry 19:
! TbPmCd, relaxed, DFT GGA-PBE; values from VASP
&SYSTEM
  ibrav = 0, nat = 3, ntyp = 3
/
ATOMIC_SPECIES
Cd 112.41 Cd.upf
Tb 158.93 Tb.upf
Pm 145.00 Pm.upf
CELL_PARAMETERS angstrom
3.677 0.000 0.000
0.000 3.677 0.000
-1.839 -1.839 6.528
ATOMIC_POSITIONS angstrom
Cd 1.839 1.839 2.225
Tb 0.000 0.000 4.186
Pm 0.000 0.000 0.117
! **D(E_F)**: 3.7 states/eV per cell
! **Calculated total energy**: -3.6298 eV/atom
! **ΔE to the lowest computed polymorph**: 0.000 eV/f.u.
! **Symmetry**: I4mm, No. 107

=====

Entry 20:
! TbPm6Cd2, relaxed, DFT GGA-PBE; values from VASP
&SYSTEM
  ibrav = 0, nat = 9, ntyp = 3
/
ATOMIC_SPECIES
Tb 158.93 Tb.upf
Pm 145.00 Pm.upf
Cd 112.41 Cd.upf
CELL_PARAMETERS angstrom
-0.182 1.553 3.481
-6.078 -1.498 2.442
1.788 -9.816 6.563
ATOMIC_POSITIONS angstrom
Tb 0.000 0.000 0.000
Pm -2.989 -0.905 4.431
Pm -1.483 -8.856 8.056
Pm -3.809 -6.471 6.871
Pm -3.835 -2.841 7.342
Pm -0.637 -6.921 5.145
Pm -0.663 -3.290 5.616
Cd -0.223 -1.549 2.771
Cd -4.249 -8.212 9.716
! **D(E_F)**: 8.9 states/eV per cell
! **Calculated total energy**: -4.0175 eV/atom
! **ΔE to the lowest computed polymorph**: 0.000 eV/f.u.
! **Symmetry**: C2/m, No. 12

=====

Entry 21:
! Tb14PmCd, relaxed, DFT GGA-PBE; values from VASP
&SYSTEM
  ibrav = 0, nat = 16, ntyp = 3
/
ATOMIC_SPECIES
Tb 158.93 Tb.upf
Pm 145.00 Pm.upf
Cd 112.41 Cd.upf
CELL_PARAMETERS angstrom
-5.099 -1.052 -4.761
4.270 -4.290 -3.624
-3.355 -7.836 5.324
ATOMIC_POSITIONS angstrom
Tb -0.920 -6.994 -1.388
Tb -5.605 -5.375 -1.957
Tb -1.795 -3.596 -6.425
Tb -3.470 -7.522 -3.772
Tb -1.382 -0.934 -2.245
Tb -3.055 -4.847 0.427
Tb -1.973 -10.302 -2.147
Tb -0.285 -6.359 -4.826
Tb -1.558 -7.629 2.049
Tb 0.130 -3.686 -0.630
Tb 0.577 -9.780 0.238
Tb 2.268 -5.829 -2.446
Tb -4.105 -8.151 -0.336
Tb -2.420 -4.217 -3.009
Pm 0.756 -3.076 -4.050
Cd -3.929 -1.456 -4.619
! **D(E_F)**: 18.4 states/eV per cell
! **Calculated total energy**: -4.4093 eV/atom
! **Symmetry**: Amm2, No. 38

=====

Entry 22:
! Tb2PmCd4, relaxed, DFT GGA-PBE; values from VASP
&SYSTEM
  ibrav = 0, nat = 7, ntyp = 3
/
ATOMIC_SPECIES
Cd 112.41 Cd.upf
Tb 158.93 Tb.upf
Pm 145.00 Pm.upf
CELL_PARAMETERS angstrom
-4.498 1.078 -2.737
2.455 -1.379 -4.578
-1.085 -6.456 4.517
ATOMIC_POSITIONS angstrom
Cd -0.385 -5.745 -1.631
Cd -3.861 -4.517 -0.711
Cd -2.743 -1.011 -1.167
Cd 0.733 -2.239 -2.087
Tb -2.031 -3.316 -3.245
Tb -1.097 -3.439 0.448
Pm 0.000 0.000 0.000
! **D(E_F)**: 5.6 states/eV per cell
! **Calculated total energy**: -2.6790 eV/atom
! **Symmetry**: I4/mmm, No. 139

=====

Entry 23:
! Tb7Pm12Cd, relaxed, DFT GGA-PBE; values from VASP
&SYSTEM
  ibrav = 0, nat = 20, ntyp = 3
/
ATOMIC_SPECIES
Tb 158.93 Tb.upf
Pm 145.00 Pm.upf
Cd 112.41 Cd.upf
CELL_PARAMETERS angstrom
-8.159 1.819 5.410
5.343 -7.181 4.362
5.477 8.291 -0.636
ATOMIC_POSITIONS angstrom
Tb -1.408 -2.681 4.886
Tb 5.410 0.555 1.863
Tb -1.341 5.055 2.387
Tb 1.331 1.464 4.568
Tb 2.738 4.145 -0.318
Tb -4.079 0.909 2.705
Tb 2.671 -3.590 2.181
Pm 3.994 1.772 5.610
Pm 5.374 -3.427 3.154
Pm -1.333 1.156 3.527
Pm -2.713 6.355 5.982
Pm 0.489 -3.791 8.302
Pm 0.724 3.962 5.861
Pm 2.172 6.720 0.835
Pm 1.937 -1.033 3.276
Pm 0.683 0.210 7.075
Pm 1.978 2.719 2.062
Pm -4.881 -0.361 5.158
Pm 7.542 3.289 3.978
Cd 0.000 0.000 0.000
! **D(E_F)**: 26.5 states/eV per cell
! **Calculated total energy**: -3.8530 eV/atom
! **Symmetry**: Im-3m, No. 229